Entry 1:
LiEr2Mg5: relaxed, PBE.

The structure in POSCAR format:
```
LiEr2Mg5
1.0
-2.432 2.432 8.262
2.432 -2.432 8.262
2.432 2.432 -8.262
Li Er Mg
1 2 5
Cartesian
0.000 0.000 0.000
0.000 0.000 4.195
0.000 0.000 12.328
2.432 0.000 1.861
2.432 0.000 6.401
0.000 0.000 8.262
0.000 2.432 1.861
0.000 2.432 6.401
```

Distance to the lowest polymorph of the same formula ... 0.000 eV per formula unit

---

Entry 2:
LiErMg11: relaxed, PBE.

The structure in POSCAR format:
```
LiErMg11
1.0
2.931 -7.173 0.000
2.931 7.173 0.000
-2.834 0.000 7.200
Li Er Mg
1 1 11
Cartesian
0.000 0.000 0.000
1.514 0.000 3.600
0.048 3.587 3.600
1.543 5.676 2.063
1.479 2.492 1.071
1.484 5.676 5.137
1.479 -2.492 1.071
0.048 -3.587 3.600
2.931 0.000 0.000
1.548 2.492 6.129
1.543 -5.676 2.063
1.548 -2.492 6.129
1.484 -5.676 5.137
```

---

| no. | DFT total energy (eV per atom) |
| --- | --- |
| 1 | -2.42 |
| 2 | -1.86 |